Na2CdAuO | Alexandria | PBE-GGA | relaxed; SG = P4/mmm (123); ΔE_f (raw) = -65.86 kJ/mol of atoms
1.0
4.537 0.000 0.000
0.000 4.537 0.000
0.000 0.000 4.635
Na Cd Au O
2 1 1 1
Cartesian
0.000 2.269 0.000 Na
2.269 0.000 0.000 Na
0.000 0.000 2.318 Cd
2.269 2.269 2.318 Au
0.000 0.000 0.000 O

***

Na6Cd2AuO | Alexandria | PBE-GGA | relaxed; SG = C2/m (12); ΔE_f (raw) = -36.62 kJ/mol of atoms
1.0
5.133 -5.139 0.000
5.133 5.139 0.000
-5.086 0.000 5.141
Na Cd Au O
6 2 1 1
Cartesian
0.011 0.000 2.279 Na
-2.810 0.000 5.134 Na
5.133 2.861 0.000 Na
5.133 -2.861 0.000 Na
7.989 0.000 0.007 Na
5.167 0.000 2.862 Na
2.589 2.547 2.570 Cd
2.589 -2.547 2.570 Cd
5.133 0.000 0.000 Au
0.000 0.000 0.000 O

***

NaCdAuO2 | Alexandria | PBE-GGA | relaxed; SG = P2/c (13); ΔE_f (raw) = -76.48 kJ/mol of atoms
1.0
5.370 0.000 0.000
0.000 5.720 0.000
-0.327 0.000 6.483
Na Cd Au O
2 2 2 4
Cartesian
-0.082 0.937 1.621 Na
-0.245 4.783 4.863 Na
2.440 2.690 4.863 Cd
2.603 3.029 1.621 Cd
2.685 0.000 0.000 Au
2.522 0.000 3.242 Au
1.436 1.737 3.092 O
1.272 3.983 6.334 O
3.771 1.737 0.150 O
3.608 3.983 3.392 O

***

NaCd2PAu | Alexandria | PBE-GGA | relaxed; SG = P4/mmm (123); E_form = 0.21 eV per atom
1.0
5.298 0.000 0.000
0.000 5.298 0.000
0.000 0.000 4.949
Na Cd P Au
1 2 1 1
Cartesian
0.000 0.000 0.000 Na
0.000 2.649 2.475 Cd
2.649 0.000 2.475 Cd
2.649 2.649 0.000 P
2.649 2.649 2.475 Au

***

NaPaCdAu | Alexandria | PBE-GGA | relaxed; SG = F-43m (216); E_form = 0.08 eV per atom
1.0
0.000 3.607 3.607
3.607 0.000 3.607
3.607 3.607 0.000
Na Pa Cd Au
1 1 1 1
Cartesian
0.000 0.000 0.000 Na
3.607 3.607 3.607 Pa
5.410 5.410 5.410 Cd
1.803 1.803 1.803 Au

***

NaCdPbAu | Alexandria | PBE-GGA | relaxed; SG = F-43m (216); E_form = -0.12 eV per atom
1.0
0.000 3.579 3.579
3.579 0.000 3.579
3.579 3.579 0.000
Na Cd Pb Au
1 1 1 1
Cartesian
0.000 0.000 0.000 Na
5.368 5.368 5.368 Cd
1.789 1.789 1.789 Pb
3.579 3.579 3.579 Au

***

NaCdPdAu | Alexandria | PBE-GGA | relaxed; SG = Cm (8); E_form = -0.14 eV per atom; energy above the lowest structure with this stoichiometry = 67 meV/atom
1.0
4.212 -2.375 0.000
4.212 2.375 0.000
-0.116 0.000 5.415
Na Cd Pd Au
1 1 1 1
Cartesian
0.000 0.000 0.000 Na
6.475 0.000 2.684 Cd
3.679 0.000 2.703 Pd
0.891 0.000 2.723 Au

***

Na2CdPd2Au5 | Alexandria | PBE-GGA | relaxed; SG = P4/mbm (127); E_form = -0.22 eV per atom
1.0
9.544 0.000 0.000
0.000 9.544 0.000
0.000 0.000 4.297
Na Cd Pd Au
4 2 4 10
Cartesian
1.632 3.140 0.000 Na
3.140 7.912 0.000 Na
6.404 1.632 0.000 Na
7.912 6.404 0.000 Na
0.000 0.000 0.000 Cd
4.772 4.772 0.000 Cd
1.203 5.975 0.000 Pd
3.569 1.203 0.000 Pd
5.975 8.341 0.000 Pd
8.341 3.569 0.000 Pd
0.000 4.772 2.149 Au
0.652 7.613 2.149 Au
1.931 0.652 2.149 Au
2.841 5.424 2.149 Au
4.120 2.841 2.149 Au
4.772 0.000 2.149 Au
5.424 6.703 2.149 Au
6.703 4.120 2.149 Au
7.613 8.892 2.149 Au
8.892 1.931 2.149 Au

***

For each record above, in turn, the calculated total energy values are -3.040; -2.178; -3.878; -2.154; -3.671; -2.426; -2.821; -3.251 eV/atom.
For each record above, in turn, the calculated total moment values are 0.00; 0.00; 0.00; 0.00; 0.93; 0.00; 0.00; 0.00 μB/f.u..